Entry 1:
Below is a crystal of Zr4Os relaxed with PBEsol, with properties calculated at the SCAN level.

```
data_Zr4Os
_space_group_name_H-M_alt 'P 1'
_space_group_IT_number 1
_cell_length_a 3.6214
_cell_length_b 3.6214
_cell_length_c 8.6252
_cell_angle_alpha 102.12
_cell_angle_beta 102.12
_cell_angle_gamma 90.00
loop_
_space_group_symop_operation_xyz
'x,y,z'
loop_
_atom_site_label
_atom_site_type_symbol
_atom_site_fract_x
_atom_site_fract_y
_atom_site_fract_z
Os1 Os 0.0000 0.0000 0.0000
Zr1 Zr 0.5837 0.5837 0.1674
Zr2 Zr 0.4163 0.4163 0.8326
Zr3 Zr 0.7500 0.2500 0.5000
Zr4 Zr 0.2500 0.7500 0.5000
```

Computed properties:
Its space-group type is I4/mmm, No. 139. For the relative energy among the computed polymorphs, the calculation gives 0.971 eV per atom. As for the calculated total energy: -38.267 eV per atom. The crystal system is tetragonal.

---

Entry 2:
Below is a crystal of Zr17Os12 relaxed with PBEsol, with properties calculated at the SCAN level.

```
data_Zr17Os12
_space_group_name_H-M_alt 'P 1'
_space_group_IT_number 1
_cell_length_a 8.7862
_cell_length_b 8.7862
_cell_length_c 8.7862
_cell_angle_alpha 109.47
_cell_angle_beta 109.47
_cell_angle_gamma 109.47
loop_
_space_group_symop_operation_xyz
'x,y,z'
loop_
_atom_site_label
_atom_site_type_symbol
_atom_site_fract_x
_atom_site_fract_y
_atom_site_fract_z
Zr1 Zr 0.0000 0.6775 0.3927
Os1 Os 0.3637 0.0000 0.1846
Os2 Os 0.1846 0.3637 0.0000
Zr2 Zr 0.6073 0.6073 0.2848
Zr3 Zr 0.3927 0.6775 0.0000
Os3 Os 0.8154 0.8154 0.1790
Zr4 Zr 0.6775 0.0000 0.3927
Zr5 Zr 0.3927 0.0000 0.6775
Os4 Os 0.1846 0.0000 0.3637
Os5 Os 0.8210 0.6363 0.6363
Zr6 Zr 0.0000 0.6468 0.0000
Zr7 Zr 0.6468 0.0000 0.0000
Os6 Os 0.6363 0.8210 0.6363
Zr8 Zr 0.0000 0.3927 0.6775
Zr9 Zr 0.0000 0.0000 0.6468
Os7 Os 0.3637 0.1846 0.0000
Zr10 Zr 0.3532 0.3532 0.3532
Os8 Os 0.0000 0.1846 0.3637
Zr11 Zr 0.2848 0.6073 0.6073
Zr12 Zr 0.6073 0.2848 0.6073
Zr13 Zr 0.7152 0.3225 0.3225
Os9 Os 0.0000 0.3637 0.1846
Os10 Os 0.8154 0.1790 0.8154
Os11 Os 0.1790 0.8154 0.8154
Zr14 Zr 0.6775 0.3927 0.0000
Zr15 Zr 0.3225 0.3225 0.7152
Zr16 Zr 0.0000 0.0000 0.0000
Zr17 Zr 0.3225 0.7152 0.3225
Os12 Os 0.6363 0.6363 0.8210
```

Computed properties:
Its space-group type is I-43m, No. 217. As for the calculated total energy: -48.218 eV per atom. The crystal system is cubic.

---

Entry 3:
Below is a crystal of Zr11Os4 relaxed with PBEsol, with properties calculated at the SCAN level.

```
data_Zr11Os4
_space_group_name_H-M_alt 'P 1'
_space_group_IT_number 1
_cell_length_a 9.4223
_cell_length_b 9.4223
_cell_length_c 9.4223
_cell_angle_alpha 60.00
_cell_angle_beta 60.00
_cell_angle_gamma 60.00
loop_
_space_group_symop_operation_xyz
'x,y,z'
loop_
_atom_site_label
_atom_site_type_symbol
_atom_site_fract_x
_atom_site_fract_y
_atom_site_fract_z
Zr1 Zr 0.0107 0.6631 0.6631
Zr2 Zr 0.2993 0.7007 0.2993
Os1 Os 0.5000 0.5000 0.0000
Zr3 Zr 0.8833 0.3501 0.8833
Zr4 Zr 0.3369 0.3369 0.9893
Os2 Os 0.0000 0.5000 0.0000
Zr5 Zr 0.7007 0.2993 0.7007
Zr6 Zr 0.8833 0.8833 0.3501
Os3 Os 0.0000 0.0000 0.5000
Zr7 Zr 0.6631 0.0107 0.6631
Zr8 Zr 0.8833 0.8833 0.8833
Zr9 Zr 0.6631 0.6631 0.6631
Zr10 Zr 0.1167 0.1167 0.1167
Zr11 Zr 0.2993 0.7007 0.7007
Zr12 Zr 0.6499 0.1167 0.1167
Zr13 Zr 0.3369 0.3369 0.3369
Os4 Os 0.5000 0.0000 0.0000
Zr14 Zr 0.2993 0.2993 0.7007
Zr15 Zr 0.6631 0.6631 0.0107
Zr16 Zr 0.1167 0.1167 0.6499
Zr17 Zr 0.3369 0.9893 0.3369
Os5 Os 0.5000 0.0000 0.5000
Zr18 Zr 0.9893 0.3369 0.3369
Os6 Os 0.5000 0.5000 0.5000
Zr19 Zr 0.7007 0.2993 0.2993
Zr20 Zr 0.1167 0.6499 0.1167
Zr21 Zr 0.3501 0.8833 0.8833
Zr22 Zr 0.7007 0.7007 0.2993
Os7 Os 0.0000 0.5000 0.5000
Os8 Os 0.0000 0.0000 0.0000
```

Computed properties:
Its space-group type is Fm-3m, No. 225. As for the calculated total energy: -42.093 eV per atom. The crystal system is cubic.

---

Entry 4:
Below is a crystal of Zr3Os relaxed with PBEsol, with properties calculated at the SCAN level.

```
data_Zr3Os
_space_group_name_H-M_alt 'P 1'
_space_group_IT_number 1
_cell_length_a 3.2535
_cell_length_b 3.2535
_cell_length_c 7.3455
_cell_angle_alpha 90.00
_cell_angle_beta 90.00
_cell_angle_gamma 90.00
loop_
_space_group_symop_operation_xyz
'x,y,z'
loop_
_atom_site_label
_atom_site_type_symbol
_atom_site_fract_x
_atom_site_fract_y
_atom_site_fract_z
Os1 Os 0.0000 0.0000 0.0000
Zr1 Zr 0.5000 0.5000 0.2194
Zr2 Zr 0.0000 0.0000 0.5000
Zr3 Zr 0.5000 0.5000 0.7806
```

Computed properties:
Its space-group type is P4/mmm, No. 123. As for the calculated total energy: -41.335 eV per atom. The crystal system is tetragonal.

---

Entry 5:
Below is a crystal of Zr3Os relaxed with PBEsol, with properties calculated at the SCAN level.

```
data_Zr3Os
_space_group_name_H-M_alt 'P 1'
_space_group_IT_number 1
_cell_length_a 5.7873
_cell_length_b 6.3221
_cell_length_c 9.0400
_cell_angle_alpha 90.00
_cell_angle_beta 90.00
_cell_angle_gamma 90.00
loop_
_space_group_symop_operation_xyz
'x,y,z'
loop_
_atom_site_label
_atom_site_type_symbol
_atom_site_fract_x
_atom_site_fract_y
_atom_site_fract_z
Zr1 Zr 0.8398 0.0330 0.2500
Zr2 Zr 0.8623 0.2974 0.5538
Zr3 Zr 0.3623 0.2026 0.0538
Zr4 Zr 0.3398 0.4670 0.7500
Os1 Os 0.0935 0.3890 0.2500
Os2 Os 0.5935 0.1110 0.7500
Os3 Os 0.4065 0.8890 0.2500
Zr5 Zr 0.1377 0.7026 0.0538
Zr6 Zr 0.6377 0.7974 0.5538
Zr7 Zr 0.3623 0.2026 0.4462
Zr8 Zr 0.1377 0.7026 0.4462
Os4 Os 0.9065 0.6110 0.7500
Zr9 Zr 0.1602 0.9670 0.7500
Zr10 Zr 0.8623 0.2974 0.9462
Zr11 Zr 0.6602 0.5330 0.2500
Zr12 Zr 0.6377 0.7974 0.9462
```

Computed properties:
Its space-group type is Pnma, No. 62. As for the calculated total energy: -41.315 eV per atom. The crystal system is orthorhombic.

---

Entry 6:
Below is a crystal of Zr3Os relaxed with PBEsol, with properties calculated at the SCAN level.

```
data_Zr3Os
_space_group_name_H-M_alt 'P 1'
_space_group_IT_number 1
_cell_length_a 5.0550
_cell_length_b 5.0550
_cell_length_c 5.0550
_cell_angle_alpha 90.00
_cell_angle_beta 90.00
_cell_angle_gamma 90.00
loop_
_space_group_symop_operation_xyz
'x,y,z'
loop_
_atom_site_label
_atom_site_type_symbol
_atom_site_fract_x
_atom_site_fract_y
_atom_site_fract_z
Os1 Os 0.0000 0.0000 0.0000
Zr1 Zr 0.5000 0.0000 0.0000
Zr2 Zr 0.0000 0.5000 0.0000
Zr3 Zr 0.0000 0.0000 0.5000
```

Computed properties:
Its space-group type is Pm-3m, No. 221. As for the calculated total energy: -40.294 eV per atom. The crystal system is cubic.

---

Entry 7:
Below is a crystal of Zr3Os relaxed with PBEsol, with properties calculated at the SCAN level.

```
data_Zr3Os
_space_group_name_H-M_alt 'P 1'
_space_group_IT_number 1
_cell_length_a 3.2861
_cell_length_b 4.8200
_cell_length_c 5.6821
_cell_angle_alpha 115.10
_cell_angle_beta 106.81
_cell_angle_gamma 90.00
loop_
_space_group_symop_operation_xyz
'x,y,z'
loop_
_atom_site_label
_atom_site_type_symbol
_atom_site_fract_x
_atom_site_fract_y
_atom_site_fract_z
Zr1 Zr 0.5000 0.0000 0.0000
Zr2 Zr 0.2730 0.2730 0.5460
Os1 Os 0.0000 0.5000 0.0000
Zr3 Zr 0.7270 0.7270 0.4540
```

Computed properties:
Its space-group type is Immm, No. 71. As for the calculated total energy: -41.367 eV per atom. The crystal system is orthorhombic.

---

Entry 8:
Below is a crystal of Zr3Os relaxed with PBEsol, with properties calculated at the SCAN level.

```
data_Zr3Os
_space_group_name_H-M_alt 'P 1'
_space_group_IT_number 1
_cell_length_a 3.1175
_cell_length_b 4.5013
_cell_length_c 5.6643
_cell_angle_alpha 90.00
_cell_angle_beta 104.89
_cell_angle_gamma 90.00
loop_
_space_group_symop_operation_xyz
'x,y,z'
loop_
_atom_site_label
_atom_site_type_symbol
_atom_site_fract_x
_atom_site_fract_y
_atom_site_fract_z
Os1 Os 0.0000 0.0000 0.0000
Zr1 Zr 0.7903 0.5000 0.2298
Zr2 Zr 0.5000 0.0000 0.5000
Zr3 Zr 0.2097 0.5000 0.7702
```

Computed properties:
Its space-group type is P2/m, No. 10. As for the calculated total energy: -41.209 eV per atom. The crystal system is monoclinic.

---

Entry 9:
Below is a crystal of ZrOs3 relaxed with PBEsol, with properties calculated at the SCAN level.

```
data_ZrOs3
_space_group_name_H-M_alt 'P 1'
_space_group_IT_number 1
_cell_length_a 2.7995
_cell_length_b 2.7995
_cell_length_c 7.9364
_cell_angle_alpha 90.00
_cell_angle_beta 90.00
_cell_angle_gamma 90.00
loop_
_space_group_symop_operation_xyz
'x,y,z'
loop_
_atom_site_label
_atom_site_type_symbol
_atom_site_fract_x
_atom_site_fract_y
_atom_site_fract_z
Os1 Os 0.5000 0.5000 0.5000
Zr1 Zr 0.5000 0.5000 0.0000
Os2 Os 0.0000 0.0000 0.7238
Os3 Os 0.0000 0.0000 0.2762
```

Computed properties:
Its space-group type is P4/mmm, No. 123. As for the calculated total energy: -61.558 eV per atom. The crystal system is tetragonal.

---

Entry 10:
Below is a crystal of ZrOs2 relaxed with PBEsol, with properties calculated at the SCAN level.

```
data_ZrOs2
_space_group_name_H-M_alt 'P 1'
_space_group_IT_number 1
_cell_length_a 5.1861
_cell_length_b 5.1861
_cell_length_c 17.0055
_cell_angle_alpha 90.00
_cell_angle_beta 90.00
_cell_angle_gamma 120.00
loop_
_space_group_symop_operation_xyz
'x,y,z'
loop_
_atom_site_label
_atom_site_type_symbol
_atom_site_fract_x
_atom_site_fract_y
_atom_site_fract_z
Os1 Os 0.5000 0.0000 0.0000
Os2 Os 0.0000 0.5000 0.0000
Os3 Os 0.5000 0.5000 0.0000
Zr1 Zr 0.0000 0.0000 0.9088
Os4 Os 0.8388 0.6776 0.2500
Os5 Os 0.6667 0.3333 0.1272
Os6 Os 0.8388 0.1612 0.2500
Os7 Os 0.6776 0.8388 0.7500
Os8 Os 0.3333 0.6667 0.6272
Zr2 Zr 0.0000 0.0000 0.5912
Zr3 Zr 0.6667 0.3333 0.8439
Os9 Os 0.3224 0.1612 0.2500
Os10 Os 0.3333 0.6667 0.8728
Os11 Os 0.5000 0.0000 0.5000
Zr4 Zr 0.0000 0.0000 0.0912
Zr5 Zr 0.3333 0.6667 0.1561
Zr6 Zr 0.6667 0.3333 0.6561
Os12 Os 0.0000 0.5000 0.5000
Zr7 Zr 0.0000 0.0000 0.4088
Os13 Os 0.1612 0.3224 0.7500
Os14 Os 0.5000 0.5000 0.5000
Zr8 Zr 0.3333 0.6667 0.3439
Os15 Os 0.6667 0.3333 0.3728
Os16 Os 0.1612 0.8388 0.7500
```

Computed properties:
Its space-group type is P6_3/mmc, No. 194. As for the calculated total energy: -58.668 eV per atom. The crystal system is hexagonal.

---

Entry 11:
Below is a crystal of Zr4Os relaxed with PBEsol, with properties calculated at the SCAN level.

```
data_Zr4Os
_space_group_name_H-M_alt 'P 1'
_space_group_IT_number 1
_cell_length_a 3.2637
_cell_length_b 5.7671
_cell_length_c 5.7671
_cell_angle_alpha 85.41
_cell_angle_beta 73.56
_cell_angle_gamma 73.56
loop_
_space_group_symop_operation_xyz
'x,y,z'
loop_
_atom_site_label
_atom_site_type_symbol
_atom_site_fract_x
_atom_site_fract_y
_atom_site_fract_z
Zr1 Zr 0.5868 0.1918 0.6347
Zr2 Zr 0.2215 0.3653 0.1918
Zr3 Zr 0.7785 0.6347 0.8082
Zr4 Zr 0.4132 0.8082 0.3653
Os1 Os 0.0000 0.0000 0.0000
```

Computed properties:
Its space-group type is I4/m, No. 87. For the relative energy among the computed polymorphs, the calculation gives 0.000 eV per atom. As for the calculated total energy: -39.238 eV per atom. The crystal system is tetragonal.

---

Entry 12:
Below is a crystal of Zr2Os3 relaxed with PBEsol, with properties calculated at the SCAN level.

```
data_Zr2Os3
_space_group_name_H-M_alt 'P 1'
_space_group_IT_number 1
_cell_length_a 4.4178
_cell_length_b 4.4178
_cell_length_c 5.4339
_cell_angle_alpha 90.00
_cell_angle_beta 90.00
_cell_angle_gamma 120.00
loop_
_space_group_symop_operation_xyz
'x,y,z'
loop_
_atom_site_label
_atom_site_type_symbol
_atom_site_fract_x
_atom_site_fract_y
_atom_site_fract_z
Zr1 Zr 0.6667 0.3333 0.1841
Os1 Os 0.0000 0.0000 0.0000
Os2 Os 0.3333 0.6667 0.3293
Zr2 Zr 0.3333 0.6667 0.8159
Os3 Os 0.6667 0.3333 0.6707
```

Computed properties:
Its space-group type is P-3m1, No. 164. As for the calculated total energy: -55.133 eV per atom. The crystal system is trigonal.

---

Number 1: M_tot 0.000 μB per atom. Number 2: M_tot 0.000 μB per atom. Number 3: M_tot 0.000 μB per atom. Number 4: M_tot 0.000 μB per atom. Number 5: M_tot 0.000 μB per atom. Number 6: M_tot 0.367 μB per atom. Number 7: M_tot 0.000 μB per atom. Number 8: M_tot 0.000 μB per atom. Number 9: M_tot 0.000 μB per atom. Number 10: M_tot 0.000 μB per atom. Number 11: M_tot 0.000 μB per atom. Number 12: M_tot 0.000 μB per atom.